This record from Alexandria describes Ba2NbPd after structural relaxation. The functional is PBE.

SG   No. 225
Raw total energy   -4.175 eV per atom
ΔH_f (0 K)   602 meV/atom

a b c (Å): 5.7425 5.7425 5.7425
angles (deg): 60.00 60.00 60.00
Positions (direct):
Ba1 0.2500 0.2500 0.2500
Ba2 0.7500 0.7500 0.7500
Nb1 0.0000 0.0000 0.0000
Pd1 0.5000 0.5000 0.5000

***

This record from Alexandria describes Pr4Ti6O19 after structural relaxation. The functional is PBE.

SG   No. 197
E_form (uncorrected)   -2.995 eV/atom
Raw total energy   -8.537 eV per atom

a b c (Å): 7.7250 7.7250 7.7250
angles (deg): 109.47 109.47 109.47
Positions (direct):
Pr1 0.0000 0.0000 0.3236
Pr2 0.0000 0.3236 0.0000
Pr3 0.3236 0.0000 0.0000
Pr4 0.6764 0.6764 0.6764
Ti1 0.1647 0.5000 0.6647
Ti2 0.3353 0.8353 0.5000
Ti3 0.5000 0.3353 0.8353
Ti4 0.5000 0.6647 0.1647
Ti5 0.6647 0.1647 0.5000
Ti6 0.8353 0.5000 0.3353
O1 0.0000 0.0000 0.0000
O2 0.0000 0.3525 0.3525
O3 0.0000 0.6475 0.6475
O4 0.0363 0.6680 0.2761
O5 0.2398 0.6317 0.9637
O6 0.2761 0.0363 0.6680
O7 0.3320 0.3683 0.6082
O8 0.3525 0.0000 0.3525
O9 0.3525 0.3525 0.0000
O10 0.3683 0.6082 0.3320
O11 0.3918 0.7602 0.7239
O12 0.6082 0.3320 0.3683
O13 0.6317 0.9637 0.2398
O14 0.6475 0.0000 0.6475
O15 0.6475 0.6475 0.0000
O16 0.6680 0.2761 0.0363
O17 0.7239 0.3918 0.7602
O18 0.7602 0.7239 0.3918
O19 0.9637 0.2398 0.6317

***

This record from Alexandria describes BPdI3 after structural relaxation. The functional is PBE.

SG   No. 221
E_form (uncorrected)   0.964 eV/atom
Raw total energy   -2.340 eV per atom

a b c (Å): 5.0844 5.0844 5.0844
angles (deg): 90.00 90.00 90.00
Positions (direct):
B1 0.0000 0.0000 0.0000
Pd1 0.5000 0.5000 0.5000
I1 0.0000 0.0000 0.5000
I2 0.0000 0.5000 0.0000
I3 0.5000 0.0000 0.0000

***

This record from Alexandria describes Ti2CoGeW after structural relaxation. The functional is PBE.

SG   No. 123
Raw total energy   -6.900 eV per atom
ΔH_f (0 K)   1193 meV/atom

a b c (Å): 4.5777 4.5777 4.6065
angles (deg): 90.00 90.00 90.00
Positions (direct):
Ti1 0.0000 0.5000 0.0000
Ti2 0.5000 0.0000 0.0000
Co1 0.0000 0.0000 0.5000
Ge1 0.5000 0.5000 0.0000
W1 0.5000 0.5000 0.5000

***

This record from Alexandria describes CeTm5Al4 after structural relaxation. The functional is PBE.

SG   No. 123
Raw total energy   -4.626 eV per atom
ΔH_f (0 K)   -300 meV/atom

a b c (Å): 3.3849 3.3849 20.7825
angles (deg): 90.00 90.00 90.00
Positions (direct):
Ce1 0.0000 0.0000 0.0000
Tm1 0.5000 0.5000 0.1223
Tm2 0.5000 0.5000 0.3112
Tm3 0.5000 0.5000 0.5000
Tm4 0.5000 0.5000 0.6888
Tm5 0.5000 0.5000 0.8777
Al1 0.0000 0.0000 0.2159
Al2 0.0000 0.0000 0.4052
Al3 0.0000 0.0000 0.5948
Al4 0.0000 0.0000 0.7841

***

This record from Alexandria describes KLa2Sm3Te6 after structural relaxation. The functional is PBE.

SG   No. 12
E_form (uncorrected)   -1.451 eV/atom
Raw total energy   -5.114 eV per atom

a b c (Å): 10.2089 10.2089 9.2244
angles (deg): 103.70 103.70 25.46
Positions (direct):
K1 0.0000 0.0000 0.0000
La1 0.3315 0.3315 0.6617
La2 0.6685 0.6685 0.3383
Sm1 0.0000 0.0000 0.5000
Sm2 0.3368 0.3368 0.1784
Sm3 0.6632 0.6632 0.8216
Te1 0.1636 0.1636 0.5859
Te2 0.1726 0.1726 0.0771
Te3 0.5000 0.5000 0.2632
Te4 0.5000 0.5000 0.7368
Te5 0.8274 0.8274 0.9229
Te6 0.8364 0.8364 0.4141